Record 1
! Zn4PtAu | the Alexandria database | GGA-PBE | relaxed; values from VASP
&SYSTEM
  ibrav = 0, nat = 12, ntyp = 3
/
ATOMIC_SPECIES
Zn 65.41 Zn.upf
Au 196.97 Au.upf
Pt 195.08 Pt.upf
CELL_PARAMETERS angstrom
-2.132 -2.229 4.877
0.128 -6.058 -2.712
5.701 2.919 1.874
ATOMIC_POSITIONS angstrom
Zn 2.579 -5.318 3.212
Zn 1.118 -0.050 0.827
Zn 0.062 -1.658 3.044
Zn 3.635 -3.709 0.995
Au 2.914 -1.570 -0.419
Zn 1.192 -3.573 -0.751
Pt -1.503 -6.215 1.624
Au 1.784 0.345 3.376
Zn 2.505 -1.794 4.790
Pt -0.501 -2.072 0.541
Zn 0.116 -4.193 1.909
Zn 3.581 -1.175 2.130
! energy: -31.9 eV per cell
! spin magnetization: 0.00 μB/cell
! DOS(E_F): 0.2138 states/eV/atom
! E above lowest polymorph: 36 meV per atom
! SG: C2/m (12)
! calculated formation energy: -5.9 kcal/mol of atoms

Record 2
! Zn2PtAu4 | the Alexandria database | GGA-PBE | relaxed; values from VASP
&SYSTEM
  ibrav = 0, nat = 14, ntyp = 3
/
ATOMIC_SPECIES
Zn 65.41 Zn.upf
Pt 195.08 Pt.upf
Au 196.97 Au.upf
CELL_PARAMETERS angstrom
6.850 -0.012 0.020
-2.293 6.454 -0.020
-2.263 -3.232 5.599
ATOMIC_POSITIONS angstrom
Zn -0.033 3.585 0.692
Pt 3.425 2.410 1.405
Zn 4.605 -0.840 2.778
Au -2.032 4.686 2.136
Pt 0.000 0.000 0.000
Au 2.832 -1.205 4.838
Zn 1.180 0.437 3.502
Au -0.593 -1.164 4.848
Au 2.506 -0.189 1.235
Au 2.412 4.711 0.169
Au 3.686 1.428 4.014
Au 1.280 3.130 2.989
Au -0.918 1.447 2.166
Zn -1.165 3.240 4.226
! energy: -44.0 eV per cell
! spin magnetization: 0.00 μB/cell
! DOS(E_F): 0.3626 states/eV/atom
! SG: I-42d (122)
! calculated formation energy: -1.0 kcal/mol of atoms

Record 3
! ZnPt2Au | the Alexandria database | GGA-PBE | relaxed; values from VASP
&SYSTEM
  ibrav = 0, nat = 4, ntyp = 3
/
ATOMIC_SPECIES
Zn 65.41 Zn.upf
Pt 195.08 Pt.upf
Au 196.97 Au.upf
CELL_PARAMETERS angstrom
-2.902 -0.402 2.515
-0.567 -2.556 -1.063
3.094 -4.954 2.778
ATOMIC_POSITIONS angstrom
Zn 1.206 -3.717 0.798
Pt -0.539 -2.576 -1.034
Pt -0.772 -2.112 1.735
Au 0.426 -5.818 2.526
! energy: -17.4 eV per cell
! spin magnetization: 0.00 μB/cell
! DOS(E_F): 0.6009 states/eV/atom
! SG: Pm (6)
! calculated formation energy: -4.7 kcal/mol of atoms

Record 4
! Zn8PtAu6 | the Alexandria database | GGA-PBE | relaxed; values from VASP
&SYSTEM
  ibrav = 0, nat = 15, ntyp = 3
/
ATOMIC_SPECIES
Au 196.97 Au.upf
Zn 65.41 Zn.upf
Pt 195.08 Pt.upf
CELL_PARAMETERS angstrom
7.693 0.000 0.000
3.846 6.662 0.000
3.846 2.221 5.304
ATOMIC_POSITIONS angstrom
Au 5.196 4.265 0.983
Au 6.292 6.515 4.321
Zn 9.288 2.239 3.551
Au 10.189 4.617 4.321
Zn 6.097 6.644 1.753
Zn 8.802 6.924 3.551
Zn 7.693 4.441 0.124
Au 9.093 2.368 0.983
Zn 4.987 4.161 3.551
Au 8.788 6.691 0.983
Zn 6.583 1.958 1.753
Au 6.597 2.192 4.321
Zn 7.693 4.441 5.180
Zn 10.398 4.722 1.753
Pt 0.000 0.000 0.000
! energy: -38.3 eV per cell
! spin magnetization: 0.00 μB/cell
! DOS(E_F): 0.2632 states/eV/atom
! SG: R-3 (148)
! calculated formation energy: -3.7 kcal/mol of atoms

Record 5
! ZnPt2Au | the Alexandria database | GGA-PBE | relaxed; values from VASP
&SYSTEM
  ibrav = 0, nat = 4, ntyp = 3
/
ATOMIC_SPECIES
Au 196.97 Au.upf
Zn 65.41 Zn.upf
Pt 195.08 Pt.upf
CELL_PARAMETERS angstrom
-2.841 -8.417 -2.466
-0.456 -9.142 -1.109
-2.859 -8.758 0.351
ATOMIC_POSITIONS angstrom
Au -4.617 -19.738 -2.418
Zn -1.539 -6.579 -0.806
Pt -3.124 -13.354 -1.636
Pt -6.111 -26.122 -3.200
! energy: -17.7 eV per cell
! spin magnetization: 0.00 μB/cell
! DOS(E_F): 0.4872 states/eV/atom
! SG: R-3m (166)
! calculated formation energy: -6.2 kcal/mol of atoms

Record 6
! ZnPt2Au | the Alexandria database | GGA-PBE | relaxed; values from VASP
&SYSTEM
  ibrav = 0, nat = 4, ntyp = 3
/
ATOMIC_SPECIES
Au 196.97 Au.upf
Pt 195.08 Pt.upf
Zn 65.41 Zn.upf
CELL_PARAMETERS angstrom
-1.470 1.947 -4.336
-1.878 -0.863 -4.526
-4.777 0.661 0.481
ATOMIC_POSITIONS angstrom
Au -2.031 0.437 -2.095
Pt -4.775 0.669 0.358
Zn -6.094 1.310 -6.286
Pt -4.064 0.865 -4.068
! energy: -17.6 eV per cell
! spin magnetization: 0.00 μB/cell
! DOS(E_F): 0.4699 states/eV/atom
! SG: C2/m (12)
! calculated formation energy: -5.4 kcal/mol of atoms

Record 7
! Zn6Pt3Au | the Alexandria database | GGA-PBE | relaxed; values from VASP
&SYSTEM
  ibrav = 0, nat = 20, ntyp = 3
/
ATOMIC_SPECIES
Au 196.97 Au.upf
Zn 65.41 Zn.upf
Pt 195.08 Pt.upf
CELL_PARAMETERS angstrom
4.514 0.000 0.000
0.000 6.804 -2.817
0.000 -0.385 9.924
ATOMIC_POSITIONS angstrom
Au 1.128 6.283 3.023
Zn 3.385 6.281 -1.338
Zn 3.385 3.275 7.719
Pt 1.128 4.936 7.503
Zn 3.385 4.753 3.075
Pt 1.128 3.526 2.143
Zn 3.385 5.356 5.942
Zn 3.385 0.762 6.814
Zn 1.128 0.138 8.445
Pt 3.385 1.483 -0.396
Au 3.385 0.136 4.084
Zn 1.128 5.657 0.293
Pt 3.385 2.893 4.963
Pt 3.385 4.212 0.403
Zn 1.128 1.666 4.031
Zn 1.128 4.249 4.847
Pt 1.128 2.207 6.704
Zn 3.385 2.170 2.259
Zn 1.128 3.144 -0.613
Zn 1.128 1.063 1.165
! energy: -66.0 eV per cell
! spin magnetization: 0.00 μB/cell
! DOS(E_F): 0.2498 states/eV/atom
! E above lowest polymorph: 0 meV per atom
! SG: P2_1/m (11)
! calculated formation energy: -9.1 kcal/mol of atoms

Record 8
! ZnPtAu5 | the Alexandria database | GGA-PBE | relaxed; values from VASP
&SYSTEM
  ibrav = 0, nat = 14, ntyp = 3
/
ATOMIC_SPECIES
Au 196.97 Au.upf
Zn 65.41 Zn.upf
Pt 195.08 Pt.upf
CELL_PARAMETERS angstrom
-5.762 -1.280 -2.815
0.983 -5.339 -3.645
-4.291 -7.774 3.146
ATOMIC_POSITIONS angstrom
Au -3.265 -10.550 -1.159
Au -5.202 -7.167 0.700
Zn -5.574 -9.160 -0.875
Au -7.429 -10.261 -2.266
Au -5.804 -3.843 -2.155
Au -3.368 -2.492 -2.654
Au -1.640 -4.132 -1.048
Au -5.701 -11.901 -0.659
Au -3.868 -7.226 -4.014
Au -3.275 -7.726 -1.357
Pt -2.146 -3.887 1.573
Pt 0.000 0.000 0.000
Zn -3.496 -5.232 -2.439
Au -5.794 -6.666 -1.957
! energy: -44.4 eV per cell
! spin magnetization: 0.00 μB/cell
! DOS(E_F): 0.3418 states/eV/atom
! SG: C2/c (15)
! calculated formation energy: 5.0 kcal/mol of atoms